# Ta3Mo2

Crystalline Ta3Mo2 at its relaxed geometry (PBE, the Alexandria database).

Computed properties:
**Calculated total energy**: -0.8474 Ry/atom
**Offset from the most stable computed form**: 0.091 eV per atom
**Energy relative to the elements**: -0.4 eV per formula unit

Lattice parameters (Å, degrees): 11.4690 11.3409 2.8632 85.34 80.25 14.41
Element x y z (fractional)
Ta (0.0000, 0.0000, 0.0000)
Ta (0.1971, 0.1971, 0.8029)
Ta (0.8029, 0.8029, 0.1971)
Mo (0.4011, 0.4011, 0.5989)
Mo (0.5989, 0.5989, 0.4011)

---

# Ta3Mo

Crystalline Ta3Mo at its relaxed geometry (PBE, the Alexandria database).

Computed properties:
**Calculated total energy**: -0.8374 Ry/atom
**Offset from the most stable computed form**: 0.318 eV per atom
**Energy relative to the elements**: 0.8 eV per formula unit

Lattice parameters (Å, degrees): 4.8925 5.3606 5.4740 90.00 90.00 90.00
Element x y z (fractional)
Ta (0.2500, 0.0000, 0.1368)
Ta (0.2500, 0.2500, 0.6339)
Ta (0.2500, 0.5000, 0.1368)
Ta (0.7500, 0.0000, 0.8632)
Ta (0.7500, 0.5000, 0.8632)
Ta (0.7500, 0.7500, 0.3661)
Mo (0.2500, 0.7500, 0.6357)
Mo (0.7500, 0.2500, 0.3643)

---

# Ta3Mo5

Crystalline Ta3Mo5 at its relaxed geometry (PBE, the Alexandria database).

Computed properties:
**Calculated total energy**: -0.8343 Ry/atom
**Offset from the most stable computed form**: 0.055 eV per atom
**Energy relative to the elements**: -1.1 eV per formula unit

Lattice parameters (Å, degrees): 3.2201 4.4942 18.3824 90.00 90.00 90.00
Element x y z (fractional)
Ta (0.0000, 0.0000, 0.0000)
Ta (0.0000, 0.5000, 0.3720)
Ta (0.0000, 0.5000, 0.6280)
Ta (0.5000, 0.0000, 0.1280)
Ta (0.5000, 0.0000, 0.8720)
Ta (0.5000, 0.5000, 0.5000)
Mo (0.0000, 0.0000, 0.2520)
Mo (0.0000, 0.0000, 0.5000)
Mo (0.0000, 0.0000, 0.7480)
Mo (0.0000, 0.5000, 0.1263)
Mo (0.0000, 0.5000, 0.8737)
Mo (0.5000, 0.0000, 0.3737)
Mo (0.5000, 0.0000, 0.6263)
Mo (0.5000, 0.5000, 0.0000)
Mo (0.5000, 0.5000, 0.2480)
Mo (0.5000, 0.5000, 0.7520)

---

# TaMo2

Crystalline TaMo2 at its relaxed geometry (PBE, the Alexandria database).

Computed properties:
**Calculated total energy**: -0.8295 Ry/atom
**Energy relative to the elements**: -0.3 eV per formula unit

Lattice parameters (Å, degrees): 2.8198 4.4911 7.8323 90.00 90.08 90.00
Element x y z (fractional)
Ta (0.1736, 0.0000, 0.1706)
Ta (0.8264, 0.0000, 0.8294)
Mo (0.1698, 0.5000, 0.6631)
Mo (0.5000, 0.0000, 0.5000)
Mo (0.5000, 0.5000, 0.0000)
Mo (0.8302, 0.5000, 0.3369)